PrMgSb2Pd4 (PBE, optimized geometry); raw formation energy = -0.721 eV/atom; SG = R-3m
1.0
2.292 1.323 8.689
-2.292 1.323 8.689
0.000 -2.647 8.689
Pr Mg Sb Pd
1 1 2 4
Direct
0.000 0.000 0.000 Pr
0.500 0.500 0.500 Mg
0.246 0.246 0.246 Sb
0.754 0.754 0.754 Sb
0.138 0.138 0.138 Pd
0.400 0.400 0.400 Pd
0.600 0.600 0.600 Pd
0.862 0.862 0.862 Pd